A geometry-optimized RbTeNCl2 structure, computed with PBE.

Space group ... No. 123
N(E_F) ... 0.987 states/eV/atom
Crystal system ... tetragonal
Calculated volume ... 208.5 Å³ per cell
M_tot ... 2.64 μB/cell
Total DFT energy (no corrections) ... -14.09 eV per formula unit

Unit cell a=5.347 b=7.294 c=5.347 alpha=90.00 beta=90.00 gamma=90.00
Last column: magnetic moment on the atom in μB.
Sites, in units of the cell vectors:
Cl1 0.500 0.000 0.000  0.01
Cl2 0.000 0.000 0.500  0.00
N1 0.500 0.500 0.500  1.68
Rb1 0.000 0.500 0.000  0.00
Te1 0.000 0.000 0.000  0.00

---

A geometry-optimized RbTe2NCl structure, computed with PBE.

Space group ... No. 123
N(E_F) ... 1.189 states/eV/atom
Crystal system ... tetragonal
E above lowest polymorph ... 65.8 kJ/mol of atoms
Calculated volume ... 250.0 Å³ per cell
M_tot ... 7.01 μB/cell
Total DFT energy (no corrections) ... -10.17 eV per formula unit

Unit cell a=6.986 b=6.986 c=5.122 alpha=90.00 beta=90.00 gamma=90.00
Last column: magnetic moment on the atom in μB.
Sites, in units of the cell vectors:
Rb1 0.000 0.000 0.000  0.07
Te1 0.500 0.000 0.000  0.97
Te2 0.000 0.500 0.000  0.97
Cl1 0.500 0.500 0.500  0.37
N1 0.000 0.000 0.500  1.73

---

A geometry-optimized RbTe2NCl structure, computed with PBE.

Space group ... No. 123
N(E_F) ... 0.533 states/eV/atom
Crystal system ... tetragonal
E above lowest polymorph ... 0.0 kJ/mol of atoms
Calculated volume ... 157.9 Å³ per cell
M_tot ... 0.00 μB/cell
Total DFT energy (no corrections) ... -13.58 eV per formula unit

Unit cell a=6.885 b=6.885 c=3.331 alpha=90.00 beta=90.00 gamma=90.00
Sites, in units of the cell vectors:
Cl1 0.000 0.000 0.000
Te1 0.500 0.000 0.000
Te2 0.000 0.500 0.000
N1 0.000 0.000 0.500
Rb1 0.500 0.500 0.500

---

> What is the formula in the second record?

RbTe2NCl

---

> The highest total DFT energy (no corrections) belongs to which entry?

number 2

---

Please write out number 3 again, unchanged.
A geometry-optimized RbTe2NCl structure, computed with PBE.

Space group ... No. 123
N(E_F) ... 0.533 states/eV/atom
Crystal system ... tetragonal
E above lowest polymorph ... 0.0 kJ/mol of atoms
Calculated volume ... 157.9 Å³ per cell
M_tot ... 0.00 μB/cell
Total DFT energy (no corrections) ... -13.58 eV per formula unit

Unit cell a=6.885 b=6.885 c=3.331 alpha=90.00 beta=90.00 gamma=90.00
Sites, in units of the cell vectors:
Cl1 0.000 0.000 0.000
Te1 0.500 0.000 0.000
Te2 0.000 0.500 0.000
N1 0.000 0.000 0.500
Rb1 0.500 0.500 0.500